La5Pm2Th GGA-PBE optimized geometry; E_form = 25 meV/atom
1.0
-4.012 3.159 -1.049
-3.707 -5.674 -2.906
-5.801 -2.979 13.217
Pm Th La
4 2 10
Direct
0.500 0.762 0.380
0.500 0.238 0.620
0.500 0.738 0.880
0.500 0.262 0.120
0.000 0.500 0.000
0.000 0.000 0.500
0.000 0.993 0.747
0.500 0.755 0.622
0.500 0.745 0.122
0.000 0.000 0.000
0.000 0.507 0.247
0.500 0.255 0.878
0.000 0.500 0.500
0.000 0.493 0.753
0.000 0.007 0.253
0.500 0.245 0.378